MnAlGa2Au: relaxed, PBE.

Calculated values
- ΔH_f (0 K): 0.477 eV/atom

Lattice parameters (Å, degrees): 4.5295 4.5295 4.8636 90.00 90.00 90.00
Sites, in units of the cell vectors:
Mn (0.0000, 0.0000, 0.0000)
Al (0.5000, 0.5000, 0.5000)
Ga (0.0000, 0.5000, 0.0000)
Ga (0.5000, 0.0000, 0.0000)
Au (0.0000, 0.0000, 0.5000)

AlGa2MoAu: relaxed, PBE.

Calculated values
- ΔH_f (0 K): 0.651 eV/atom

Lattice parameters (Å, degrees): 4.8754 4.8754 4.8473 90.00 90.00 90.00
Sites, in units of the cell vectors:
Al (0.0000, 0.0000, 0.0000)
Ga (0.0000, 0.5000, 0.5000)
Ga (0.5000, 0.0000, 0.5000)
Mo (0.0000, 0.0000, 0.5000)
Au (0.5000, 0.5000, 0.0000)

NaAl2GaAu4: relaxed, PBE.

Calculated values
- ΔH_f (0 K): -0.236 eV/atom

Lattice parameters (Å, degrees): 8.5463 8.5463 8.5463 30.63 30.63 30.63
Sites, in units of the cell vectors:
Na (0.0000, 0.0000, 0.0000)
Al (0.2590, 0.2590, 0.2590)
Al (0.7410, 0.7410, 0.7410)
Ga (0.5000, 0.5000, 0.5000)
Au (0.1256, 0.1256, 0.1256)
Au (0.3888, 0.3888, 0.3888)
Au (0.6112, 0.6112, 0.6112)
Au (0.8744, 0.8744, 0.8744)

NaAlGaAu2: relaxed, PBE.

Calculated values
- ΔH_f (0 K): -0.315 eV/atom

Lattice parameters (Å, degrees): 4.3063 4.3063 11.4080 90.00 90.00 90.00
Sites, in units of the cell vectors:
Na (0.0000, 0.0000, 0.0000)
Na (0.5000, 0.5000, 0.5000)
Al (0.0000, 0.5000, 0.2500)
Al (0.5000, 0.0000, 0.7500)
Ga (0.0000, 0.5000, 0.7500)
Ga (0.5000, 0.0000, 0.2500)
Au (0.0000, 0.0000, 0.3790)
Au (0.0000, 0.0000, 0.6210)
Au (0.5000, 0.5000, 0.1210)
Au (0.5000, 0.5000, 0.8790)

NaAlGaAu: relaxed, PBE.

Calculated values
- ΔH_f (0 K): -0.124 eV/atom

Lattice parameters (Å, degrees): 6.6728 6.6728 6.6728 90.00 90.00 90.00
Sites, in units of the cell vectors:
Na (0.0000, 0.0000, 0.0000)
Na (0.0000, 0.5000, 0.5000)
Na (0.5000, 0.0000, 0.5000)
Na (0.5000, 0.5000, 0.0000)
Al (0.0000, 0.0000, 0.5000)
Al (0.0000, 0.5000, 0.0000)
Al (0.5000, 0.0000, 0.0000)
Al (0.5000, 0.5000, 0.5000)
Ga (0.2500, 0.2500, 0.7500)
Ga (0.2500, 0.7500, 0.2500)
Ga (0.7500, 0.2500, 0.2500)
Ga (0.7500, 0.7500, 0.7500)
Au (0.2500, 0.2500, 0.2500)
Au (0.2500, 0.7500, 0.7500)
Au (0.7500, 0.2500, 0.7500)
Au (0.7500, 0.7500, 0.2500)

NaAlGaAu6: relaxed, PBE.

Calculated values
- ΔH_f (0 K): -0.057 eV/atom

Lattice parameters (Å, degrees): 8.2995 8.2995 8.2995 121.38 118.91 89.76
Sites, in units of the cell vectors:
Na (0.3841, 0.1341, 0.2500)
Na (0.6159, 0.8659, 0.7500)
Al (0.0000, 0.5000, 0.5000)
Al (0.5000, 0.5000, 0.0000)
Ga (0.0000, 0.0000, 0.5000)
Ga (0.0000, 0.5000, 0.0000)
Au (0.1239, 0.3742, 0.2486)
Au (0.1239, 0.8753, 0.7497)
Au (0.1329, 0.8829, 0.2500)
Au (0.3677, 0.6177, 0.7500)
Au (0.3744, 0.1247, 0.7486)
Au (0.3744, 0.6258, 0.2497)
Au (0.6256, 0.3742, 0.7503)
Au (0.6256, 0.8753, 0.2514)
Au (0.6323, 0.3823, 0.2500)
Au (0.8671, 0.1171, 0.7500)
Au (0.8761, 0.1247, 0.2503)
Au (0.8761, 0.6258, 0.7514)

Na2AlGa3Au4: relaxed, PBE.

Calculated values
- ΔH_f (0 K): -0.322 eV/atom

Lattice parameters (Å, degrees): 4.3793 4.3793 10.9754 90.00 90.00 90.00
Sites, in units of the cell vectors:
Na (0.0000, 0.5000, 0.2441)
Na (0.5000, 0.0000, 0.7559)
Al (0.0000, 0.0000, 0.5000)
Ga (0.0000, 0.5000, 0.8658)
Ga (0.5000, 0.0000, 0.1342)
Ga (0.5000, 0.5000, 0.5000)
Au (0.0000, 0.0000, 0.0000)
Au (0.0000, 0.5000, 0.6331)
Au (0.5000, 0.0000, 0.3669)
Au (0.5000, 0.5000, 0.0000)

Na2AlGa4Au3: relaxed, PBE.

Calculated values
- ΔH_f (0 K): -0.268 eV/atom

Lattice parameters (Å, degrees): 4.1938 4.1938 11.6829 90.00 90.00 90.00
Sites, in units of the cell vectors:
Na (0.0000, 0.5000, 0.2471)
Na (0.5000, 0.0000, 0.7529)
Al (0.5000, 0.5000, 0.0000)
Ga (0.0000, 0.0000, 0.5000)
Ga (0.0000, 0.5000, 0.8590)
Ga (0.5000, 0.0000, 0.1410)
Ga (0.5000, 0.5000, 0.5000)
Au (0.0000, 0.0000, 0.0000)
Au (0.0000, 0.5000, 0.6412)
Au (0.5000, 0.0000, 0.3588)

NaAlGaAu3: relaxed, PBE.

Calculated values
- ΔH_f (0 K): -0.217 eV/atom

Lattice parameters (Å, degrees): 7.9229 7.9229 5.8476 90.00 90.00 126.51
Sites, in units of the cell vectors:
Na (0.2109, 0.7891, 0.7500)
Na (0.7891, 0.2109, 0.2500)
Al (0.4641, 0.5359, 0.2500)
Al (0.5359, 0.4641, 0.7500)
Ga (0.1107, 0.8893, 0.2500)
Ga (0.8893, 0.1107, 0.7500)
Au (0.2119, 0.2119, 0.0000)
Au (0.2119, 0.2119, 0.5000)
Au (0.2878, 0.7122, 0.2500)
Au (0.7122, 0.2878, 0.7500)
Au (0.7881, 0.7881, 0.0000)
Au (0.7881, 0.7881, 0.5000)

Nd2Al4Ga3Au: relaxed, PBE.

Calculated values
- ΔH_f (0 K): -0.510 eV/atom

Lattice parameters (Å, degrees): 4.3257 4.3257 10.7584 90.00 90.00 90.00
Sites, in units of the cell vectors:
Nd (0.0000, 0.5000, 0.2478)
Nd (0.5000, 0.0000, 0.7522)
Al (0.0000, 0.0000, 0.5000)
Al (0.0000, 0.5000, 0.8689)
Al (0.5000, 0.0000, 0.1311)
Al (0.5000, 0.5000, 0.5000)
Ga (0.0000, 0.0000, 0.0000)
Ga (0.0000, 0.5000, 0.6377)
Ga (0.5000, 0.0000, 0.3623)
Au (0.5000, 0.5000, 0.0000)